[1]
The following is a GGA-PBE calculation of crystalline Tb2DyTm12 at its relaxed geometry, from the Alexandria database.

The structure in POSCAR format:
```
Tb2DyTm12
1.0
6.4674 -1.4183 -0.2491
-1.4183 6.4674 -0.2491
-0.1232 -0.1232 23.1115
Tm Dy Tb
24 2 4
Direct
0.7130 0.2130 0.8533
0.6391 0.6390 0.5571
0.4812 0.4814 0.9329
0.7870 0.2870 0.1467
0.5186 0.5188 0.0671
0.3610 0.3609 0.4429
0.4187 0.4188 0.6776
0.1434 0.6434 0.5743
0.9188 0.9187 0.6776
0.7991 0.7991 0.1928
0.2009 0.2009 0.8072
0.2130 0.7130 0.8532
0.2991 0.2991 0.1928
0.8567 0.3567 0.4258
0.7009 0.7009 0.8072
0.9814 0.9812 0.9329
0.8609 0.8610 0.4429
0.1390 0.1391 0.5571
0.6433 0.1433 0.5742
0.5812 0.5813 0.3224
0.0813 0.0812 0.3224
0.2870 0.7870 0.1468
0.0188 0.0186 0.0671
0.3566 0.8566 0.4257
0.0000 0.5000 0.0000
0.5000 0.0000 0.0000
0.9280 0.4280 0.7149
0.0719 0.5719 0.2851
0.5720 0.0720 0.2851
0.4281 0.9281 0.7149
```

Summary:
* E_form: 0.074 eV per atom
* DOS(E_F): 49.979 states/eV per cell
* E_tot: -0.325 Ry/atom
* mass density: 9.05 g/cm³

[2]
The following is a GGA-PBE calculation of crystalline Tb4Dy3Tm2 at its relaxed geometry, from the Alexandria database.

The structure in POSCAR format:
```
Tb4Dy3Tm2
1.0
-1.5917 3.1733 4.7618
-7.4507 -6.1354 2.8553
3.3410 -6.6324 6.7939
Tm Tb Dy
4 8 6
Direct
0.7914 0.2899 0.5052
0.2086 0.7101 0.4948
0.7086 0.4948 0.7101
0.2914 0.5052 0.2899
0.1158 0.6187 0.8372
0.5484 0.0461 0.8259
0.8842 0.3813 0.1628
0.6158 0.8372 0.6187
0.3842 0.1628 0.3813
0.0484 0.8259 0.0461
0.9516 0.1741 0.9539
0.4516 0.9539 0.1741
0.5822 0.6791 0.9848
0.9178 0.0152 0.3209
0.7500 0.6526 0.3474
0.4178 0.3209 0.0152
0.0822 0.9848 0.6791
0.2500 0.3474 0.6526
```

Summary:
* E_form: 0.098 eV per atom
* DOS(E_F): 25.324 states/eV per cell
* E_tot: -0.330 Ry/atom
* mass density: 8.66 g/cm³

| no. | total magnetic moment (Bohr magnetons per cell) |
| --- | --- |
| 1 | 0.00 |
| 2 | 0.00 |